This record from Alexandria describes a geometry-optimized BaRhAu structure. The functional is GGA-PBE.

Results
* magnetic moment: 0.0 μB per formula unit
* crystal system: cubic
* DOS(E_F): 0.507 states/eV/atom
* final energy: -3.67 eV per atom
* calculated formation energy: 0.518 eV per atom
* theoretical density: 8.17 g/cm3
* ΔE to the lowest computed polymorph: 844.8 meV per atom

a = 7.0834 Å, b = 7.0834 Å, c = 7.0834 Å
α = 90.00°, β = 90.00°, γ = 90.00°
With the nearest neighbours (Å) after each atom.
Space group F-43m (No. 216)
One atom of each set of equivalent atoms:
Ba 0.0000 0.0000 0.0000 (multiplicity 4)  4 Rh 3.07, 4 Au 3.07
Rh 0.2500 0.2500 0.2500 (multiplicity 4)  4 Ba 3.07
Au 0.2500 0.2500 0.7500 (multiplicity 4)  4 Ba 3.07